Entry from Alexandria: MnMoW2 after structural relaxation (PBEsol).

Results
Formation energy, eV per atom: 0.366
Polymorph energy (0 for the lowest one), eV per atom: 0.276
Volume, Å³ per cell: 58.92
Total magnetization, Bohr magnetons per cell: 1.91
Space group: I-4m2, No. 119

Unit cell a=3.708 b=3.708 c=5.024 alpha=111.65 beta=111.65 gamma=90.00
Last column: magnetic moment on the atom in μB.
Fractional coordinates of all 4 atoms:
W 0.000 0.000 0.000  -0.08
Mo 0.250 0.750 0.500  0.04
W 0.750 0.250 0.500  0.00
Mn 0.500 0.500 0.000  1.90